A geometry-optimized SrCe2Nb3N8 structure, computed with PBE.

a b c (Å): 6.518 6.518 6.814
angles (deg): 61.43 61.43 60.00
Last column: magnetic moment on the atom in μB.
Positions (direct):
Ce1 0.122 0.122 0.633  -0.37
Ce2 0.499 0.499 0.503  -0.03
N1 0.740 0.740 0.206  0.00
Nb1 0.503 0.989 0.006  -0.02
N2 0.265 0.265 0.206  0.01
N3 0.314 0.740 0.206  0.00
N4 0.255 0.255 0.784  0.01
N5 0.705 0.255 0.784  0.01
Sr1 0.872 0.872 0.383  0.00
N6 0.730 0.730 0.810  0.00
N7 0.255 0.705 0.784  0.01
Nb2 0.503 0.503 0.006  -0.02
Nb3 0.989 0.503 0.006  -0.02
N8 0.740 0.314 0.206  0.00

Properties
Crystal system   trigonal
Calculated total energy   -0.3266 hartree per atom
Formation energy from raw total energies   -1005.4 meV per atom